# Sm7Dy12Th | the Alexandria database | PBE | relaxed
data_Sm7Dy12Th
_cell_length_a 11.2871
_cell_length_b 11.2871
_cell_length_c 11.2871
_cell_angle_alpha 90.00
_cell_angle_beta 90.00
_cell_angle_gamma 90.00
_space_group_name_H-M_alt 'I m -3'
_space_group_IT_number 204
_space_group_name_Hall '-I 2 2 3'
loop_
_atom_site_label
_atom_site_type_symbol
_atom_site_fract_x
_atom_site_fract_y
_atom_site_fract_z
_atom_site_occupancy
Sm1 Sm 0.0000 0.0000 0.5000 1
Sm2 Sm 0.2500 0.2500 0.2500 1
Dy1 Dy 0.0000 0.2445 0.2436 1
Th1 Th 0.0000 0.0000 0.0000 1
# - D(E_F) (states/eV/cell) = 60.47
# - formation energy from the elements (eV/atom) = 0.69
# - energy above the lowest structure with this stoichiometry (meV/atom) = 452

---

# BaAl8 | the Alexandria database | PBE | relaxed
data_BaAl8
_cell_length_a 9.2795
_cell_length_b 9.2795
_cell_length_c 4.3356
_cell_angle_alpha 90.00
_cell_angle_beta 90.00
_cell_angle_gamma 90.00
_space_group_name_H-M_alt 'I 4/m m m'
_space_group_IT_number 139
_space_group_name_Hall '-I 4 2'
loop_
_atom_site_label
_atom_site_type_symbol
_atom_site_fract_x
_atom_site_fract_y
_atom_site_fract_z
_atom_site_occupancy
Ba1 Ba 0.0000 0.0000 0.0000 1
Al1 Al 0.0000 0.3531 0.0000 1
Al2 Al 0.1918 0.1918 0.5000 1
# - D(E_F) (states/eV/cell) = 7.99
# - formation energy from the elements (eV/atom) = 0.07

---

# TbYScCd | the Alexandria database | PBE | relaxed
data_TbYScCd
_cell_length_a 7.5684
_cell_length_b 7.5684
_cell_length_c 7.5684
_cell_angle_alpha 90.00
_cell_angle_beta 90.00
_cell_angle_gamma 90.00
_space_group_name_H-M_alt 'F -4 3 m'
_space_group_IT_number 216
_space_group_name_Hall 'F -4 2 3'
loop_
_atom_site_label
_atom_site_type_symbol
_atom_site_fract_x
_atom_site_fract_y
_atom_site_fract_z
_atom_site_occupancy
Tb1 Tb 0.0000 0.0000 0.0000 1
Y1 Y 0.0000 0.0000 0.5000 1
Sc1 Sc 0.2500 0.2500 0.2500 1
Cd1 Cd 0.2500 0.2500 0.7500 1
# - D(E_F) (states/eV/cell) = 20.96
# - formation energy from the elements (eV/atom) = -0.05
# - energy above the lowest structure with this stoichiometry (meV/atom) = 78